# ThSi3Ir5 (PBE-GGA, optimized geometry)
data_ThSi3Ir5
_chemical_formula_sum 'Th4 Si12 Ir20'
_cell_length_a 3.9438
_cell_length_b 12.2660
_cell_length_c 12.4683
_cell_angle_alpha 90.00
_cell_angle_beta 90.00
_cell_angle_gamma 90.00
_symmetry_space_group_name_H-M 'C m c m'
_symmetry_Int_Tables_number 63
_symmetry_space_group_name_Hall '-C 2c 2'
loop_
_atom_site_label
_atom_site_fract_x
_atom_site_fract_y
_atom_site_fract_z
Th1 0.0000 0.1621 0.2500
Si1 0.0000 0.1151 0.7500
Si2 0.0000 0.3868 0.5398
Ir1 0.0000 0.0000 0.0000
Ir2 0.0000 0.2054 0.5774
Ir3 0.0000 0.4477 0.1461
# E: -8.262 eV per atom
# crystal system: orthorhombic

# Ce6FeGe2 (PBE-GGA, optimized geometry)
data_Ce6FeGe2
_chemical_formula_sum 'Ce6 Fe1 Ge2'
_cell_length_a 8.0113
_cell_length_b 8.0113
_cell_length_c 3.8434
_cell_angle_alpha 90.00
_cell_angle_beta 90.00
_cell_angle_gamma 120.00
_symmetry_space_group_name_H-M 'P -6 2 m'
_symmetry_Int_Tables_number 189
_symmetry_space_group_name_Hall 'P -6 -2'
loop_
_atom_site_label
_atom_site_fract_x
_atom_site_fract_y
_atom_site_fract_z
Ce1 0.0000 0.2446 0.0000
Ce2 0.0000 0.5866 0.5000
Fe1 0.0000 0.0000 0.5000
Ge1 0.3333 0.6667 0.0000
# calculated formation energy: -386 meV/atom
# crystal system: hexagonal

# LiMo3 (PBE-GGA, optimized geometry)
data_LiMo3
_chemical_formula_sum 'Li4 Mo12'
_cell_length_a 8.9477
_cell_length_b 6.2464
_cell_length_c 4.3668
_cell_angle_alpha 90.00
_cell_angle_beta 90.00
_cell_angle_gamma 90.00
_symmetry_space_group_name_H-M 'C m c m'
_symmetry_Int_Tables_number 63
_symmetry_space_group_name_Hall '-C 2c 2'
loop_
_atom_site_label
_atom_site_fract_x
_atom_site_fract_y
_atom_site_fract_z
Li1 0.0000 0.1186 0.2500
Mo1 0.0000 0.3858 0.7500
Mo2 0.2482 0.1351 0.7500
# calculated formation energy: 269 meV/atom
# distance to the lowest polymorph of the same formula: 37 meV per atom
# crystal system: orthorhombic

# Ca2TaGe3Ir4 (PBE-GGA, optimized geometry)
data_Ca2TaGe3Ir4
_chemical_formula_sum 'Ca2 Ta1 Ge3 Ir4'
_cell_length_a 4.1732
_cell_length_b 4.1732
_cell_length_c 10.8039
_cell_angle_alpha 90.00
_cell_angle_beta 90.00
_cell_angle_gamma 90.00
_symmetry_space_group_name_H-M 'P -4 m 2'
_symmetry_Int_Tables_number 115
loop_
_symmetry_equiv_pos_as_xyz
'x,y,z'
'y,-x,-z'
'-x,-y,z'
'-y,x,-z'
'-x,y,z'
'-y,-x,-z'
'x,-y,z'
'y,x,-z'
loop_
_atom_site_label
_atom_site_fract_x
_atom_site_fract_y
_atom_site_fract_z
Ca1 0.0000 0.5000 0.2359
Ta1 0.0000 0.0000 0.5000
Ge1 0.0000 0.5000 0.8728
Ge2 0.5000 0.5000 0.5000
Ir1 0.0000 0.0000 0.0000
Ir2 0.0000 0.5000 0.6391
Ir3 0.5000 0.5000 0.0000
# calculated formation energy: -627 meV/atom
# crystal system: tetragonal